*1*
Ba2Ca2Tl after structural relaxation, computed with PBE.

Cell lengths 8.444, 8.444, 6.438 Å; angles 90.00, 90.00, 90.00 degrees
Space group P4/mbm (No. 127)
Unique sites:
Ba 0.179 0.321 0.000 (multiplicity 4)
Ca 0.152 0.652 0.500 (multiplicity 4)
Tl 0.000 0.000 0.500 (multiplicity 2)

Computed properties:
DOS at the Fermi energy: 21.220 states/eV per cell

***

*2*
Ba2Ca2Tl after structural relaxation, computed with PBE.

Cell lengths 8.981, 8.981, 6.150 Å; angles 90.00, 90.00, 90.00 degrees
Space group P4/mbm (No. 127)
Unique sites:
Ba 0.149 0.351 0.000 (multiplicity 4)
Ca 0.163 0.663 0.500 (multiplicity 4)
Tl 0.000 0.000 0.000 (multiplicity 2)

Computed properties:
DOS at the Fermi energy: 17.015 states/eV per cell

***

Q: Which of them is the least stable? A: *2*.

***

*1*
BaCa2Tm after structural relaxation, computed with PBE.

Cell lengths 4.166, 4.166, 9.774 Å; angles 90.00, 90.00, 90.00 degrees
Space group P4/mmm (No. 123)
Unique sites:
Ba 0.000 0.000 0.000 (multiplicity 1)
Ca 0.500 0.500 0.291 (multiplicity 2)
Tm 0.000 0.000 0.500 (multiplicity 1)

Computed properties:
DOS at the Fermi energy: 4.923 states/eV per cell

***

*2*
BaCa2Tm after structural relaxation, computed with PBE.

Cell lengths 6.176, 6.176, 4.335 Å; angles 90.00, 90.00, 90.00 degrees
Space group P4/mmm (No. 123)
Unique sites:
Ba 0.000 0.000 0.000 (multiplicity 1)
Ca 0.000 0.500 0.500 (multiplicity 2)
Tm 0.500 0.500 0.000 (multiplicity 1)

Computed properties:
DOS at the Fermi energy: 5.357 states/eV per cell

***

*3*
BaCa2Tm after structural relaxation, computed with PBE.

Cell lengths 3.8730, 3.8730, 38.5354 Å; angles 90.00, 90.00, 120.00 degrees
Space group R3m (No. 160, hexagonal axes)
Unique sites:
Ba 0.0000 0.0000 0.0000 (multiplicity 3)
Ca 0.0000 0.0000 0.2425 (multiplicity 3)
Ca 0.0000 0.0000 0.4233 (multiplicity 3)
Tm 0.0000 0.0000 0.8329 (multiplicity 3)

Computed properties:
DOS at the Fermi energy: 19.349 states/eV per cell

***

Q: Which of them is the least stable? A: *2*.

***

*1*
BaCa2Tm after structural relaxation, computed with PBE.

Cell lengths 8.734, 8.734, 8.734 Å; angles 90.00, 90.00, 90.00 degrees
Space group Fm-3m (No. 225)
Unique sites:
Ba 0.000 0.000 0.000 (multiplicity 4)
Ca 0.250 0.250 0.250 (multiplicity 8)
Tm 0.000 0.000 0.500 (multiplicity 4)

Computed properties:
DOS at the Fermi energy: 28.697 states/eV per cell

***

*2*
BaCa2Tm after structural relaxation, computed with PBE.

Cell lengths 3.7458, 3.7458, 41.3614 Å; angles 90.00, 90.00, 120.00 degrees
Space group R-3m (No. 166, hexagonal axes)
Unique sites:
Ba 0.0000 0.0000 0.0000 (multiplicity 3)
Ca 0.0000 0.0000 0.4177 (multiplicity 6)
Tm 0.0000 0.0000 0.5000 (multiplicity 3)

Computed properties:
DOS at the Fermi energy: 18.618 states/eV per cell

***

Q: Which of them is the least stable? A: *2*.

***

*1*
Ba2CaV2 after structural relaxation, computed with PBE.

Cell lengths 3.532, 3.532, 26.285 Å; angles 90.00, 90.00, 90.00 degrees
Space group I4/mmm (No. 139)
Unique sites:
Ba 0.000 0.000 0.132 (multiplicity 4)
Ca 0.000 0.000 0.500 (multiplicity 2)
V 0.000 0.500 0.250 (multiplicity 4)

Computed properties:
DOS at the Fermi energy: 18.212 states/eV per cell

***

*2*
Ba2CaV2 after structural relaxation, computed with PBE.

Cell lengths 10.022, 10.022, 3.530 Å; angles 90.00, 90.00, 90.00 degrees
Space group P4/mbm (No. 127)
Unique sites:
Ba 0.209 0.291 0.000 (multiplicity 4)
Ca 0.000 0.000 0.000 (multiplicity 2)
V 0.065 0.565 0.500 (multiplicity 4)

Computed properties:
DOS at the Fermi energy: 11.586 states/eV per cell

***

Q: Which of them is the least stable? A: *2*.

***

*1*
Ba2CaV after structural relaxation, computed with PBE.

Cell lengths 9.875, 9.875, 7.221 Å; angles 90.00, 90.00, 90.00 degrees
Space group I-42d (No. 122)
Unique sites:
Ba 0.200 0.250 0.125 (multiplicity 8)
Ca 0.000 0.000 0.500 (multiplicity 4)
V 0.000 0.000 0.000 (multiplicity 4)

Computed properties:
DOS at the Fermi energy: 19.039 states/eV per cell

***

*2*
Ba2CaV after structural relaxation, computed with PBE.

Cell lengths 8.781, 8.781, 8.781 Å; angles 90.00, 90.00, 90.00 degrees
Space group Fm-3m (No. 225)
Unique sites:
Ba 0.250 0.250 0.250 (multiplicity 8)
Ca 0.000 0.000 0.000 (multiplicity 4)
V 0.000 0.000 0.500 (multiplicity 4)

Computed properties:
DOS at the Fermi energy: 21.785 states/eV per cell

***

Q: Which of them is the least stable? A: *1*.

***

*1*
BaCaV2 after structural relaxation, computed with PBE.

Cell lengths 8.741, 8.741, 6.392 Å; angles 90.00, 90.00, 90.00 degrees
Space group I-42d (No. 122)
Unique sites:
Ba 0.000 0.000 0.000 (multiplicity 4)
Ca 0.000 0.000 0.500 (multiplicity 4)
V 0.238 0.250 0.625 (multiplicity 8)

Computed properties:
DOS at the Fermi energy: 34.812 states/eV per cell

***

*2*
BaCaV2 after structural relaxation, computed with PBE.

Cell lengths 7.896, 7.896, 7.896 Å; angles 90.00, 90.00, 90.00 degrees
Space group Fm-3m (No. 225)
Unique sites:
Ba 0.000 0.000 0.000 (multiplicity 4)
Ca 0.000 0.000 0.500 (multiplicity 4)
V 0.250 0.250 0.250 (multiplicity 8)

Computed properties:
DOS at the Fermi energy: 23.305 states/eV per cell

***

Q: Which of them is the least stable? A: *1*.